(1)
First-principles (GGA-PBE) data for crystalline TiSn3As at its relaxed geometry, as listed in Alexandria.

Summary:
The calculated density comes out at 5.351 g/cm³. The polymorph energy (0 for the lowest one) comes out at 0.381 eV per atom. Its total magnetic moment is 0.000 μB per atom. The formation energy comes out at 0.877 eV/atom. For the total energy, the calculation gives -4.03 eV per atom.

Lattice parameters (Å, degrees): 5.297 5.297 5.297 90.00 90.00 90.00
Space group Pm-3m (No. 221)
Symmetry-distinct sites (fractional):
Ti 0.000 0.000 0.000 x1
Sn 0.000 0.500 0.500 x3
As 0.500 0.500 0.500 x1

(2)
First-principles (GGA-PBE) data for crystalline ScTlS2 at its relaxed geometry, as listed in Alexandria.

Summary:
The calculated density comes out at 4.288 g/cm³. Its raw formation energy is -1.1993 eV/atom. Its total magnetic moment is 0.000 μB per atom. For the total energy, the calculation gives -5.44 eV per atom.

Lattice parameters (Å, degrees): 7.066 7.066 9.726 90.00 90.00 90.00
Space group I-42d (No. 122)
Symmetry-distinct sites (fractional):
Sc 0.000 0.000 0.000 x4
Tl 0.000 0.000 0.500 x4
S 0.167 0.250 0.125 x8

(3)
First-principles (GGA-PBE) data for crystalline Ac4AlIn12 at its relaxed geometry, as listed in Alexandria.

Summary:
The calculated density comes out at 7.793 g/cm³. Its total magnetic moment is 0.000 μB per atom. The formation energy comes out at -0.361 eV/atom. For the total energy, the calculation gives -3.48 eV per atom.

Lattice parameters (Å, degrees): 9.952 9.952 9.952 90.00 90.00 90.00
Space group Im-3m (No. 229)
Symmetry-distinct sites (fractional):
Ac 0.250 0.250 0.250 x8
Al 0.000 0.000 0.000 x2
In 0.000 0.000 0.296 x12
In 0.000 0.250 0.500 x12

(4)
First-principles (GGA-PBE) data for crystalline Er4RuSe3 at its relaxed geometry, as listed in Alexandria.

Summary:
The calculated density comes out at 8.727 g/cm³. Its raw formation energy is -1.3483 eV/atom. Its total magnetic moment is 0.002 μB per atom. For the total energy, the calculation gives -6.10 eV per atom.

Lattice parameters (Å, degrees): 8.437 11.532 3.939 90.00 90.00 90.00
Space group Cmmm (No. 65)
Symmetry-distinct sites (fractional):
Er 0.000 0.229 0.000 x4
Er 0.231 0.000 0.500 x4
Ru 0.000 0.000 0.000 x2
Se 0.000 0.500 0.000 x2
Se 0.250 0.250 0.500 x4

(5)
First-principles (GGA-PBE) data for crystalline Pm3PrCd6 at its relaxed geometry, as listed in Alexandria.

Summary:
The calculated density comes out at 7.664 g/cm³. Its total magnetic moment is 0.022 μB per atom. The formation energy comes out at -0.296 eV/atom. For the total energy, the calculation gives -2.75 eV per atom.

Lattice parameters (Å, degrees): 9.448 5.268 11.328 90.00 106.06 90.00
Space group P2_1/m (No. 11)
Symmetry-distinct sites (fractional):
Pm 0.023 0.250 0.391 x2
Pm 0.149 0.750 0.208 x2
Pm 0.265 0.250 0.002 x2
Pr 0.442 0.250 0.613 x2
Cd 0.050 0.750 0.907 x2
Cd 0.159 0.250 0.711 x2
Cd 0.258 0.750 0.503 x2
Cd 0.348 0.250 0.306 x2
Cd 0.355 0.750 0.806 x2
Cd 0.448 0.750 0.096 x2

(6)
First-principles (GGA-PBE) data for crystalline YAl3Cl at its relaxed geometry, as listed in Alexandria.

Summary:
The calculated density comes out at 1.679 g/cm³. Its raw formation energy is 0.9448 eV/atom. The polymorph energy (0 for the lowest one) comes out at 0.745 eV per atom. Its total magnetic moment is 0.546 μB per atom. For the total energy, the calculation gives -2.96 eV per atom.

Lattice parameters (Å, degrees): 5.877 5.877 5.877 90.00 90.00 90.00
Space group Pm-3m (No. 221)
Symmetry-distinct sites (fractional):
Y 0.000 0.000 0.000 x1
Al 0.000 0.000 0.500 x3
Cl 0.500 0.500 0.500 x1

(7)
First-principles (GGA-PBE) data for crystalline Li3Nd2Sn2 at its relaxed geometry, as listed in Alexandria.

Summary:
The calculated density comes out at 5.298 g/cm³. Its total magnetic moment is 0.000 μB per atom. The formation energy comes out at -0.491 eV/atom. For the total energy, the calculation gives -3.82 eV per atom.

Lattice parameters (Å, degrees): 10.858 4.892 6.626 90.00 103.17 90.00
Space group C2/m (No. 12)
Symmetry-distinct sites (fractional):
Li 0.000 0.000 0.000 x2
Li 0.109 0.000 0.430 x4
Nd 0.148 0.500 0.761 x4
Sn 0.153 0.500 0.251 x4

(8)
First-principles (GGA-PBE) data for crystalline Nb2HW at its relaxed geometry, as listed in Alexandria.

Summary:
The calculated density comes out at 9.953 g/cm³. The polymorph energy (0 for the lowest one) comes out at 0.549 eV per atom. Its total magnetic moment is 0.000 μB per atom. For the total energy, the calculation gives -8.39 eV per atom.

Lattice parameters (Å, degrees): 6.277 6.277 6.277 90.00 90.00 90.00
Space group Fm-3m (No. 225)
Symmetry-distinct sites (fractional):
Nb 0.250 0.250 0.250 x8
H 0.000 0.000 0.000 x4
W 0.000 0.000 0.500 x4

(9)
First-principles (GGA-PBE) data for crystalline RbNiGe2 at its relaxed geometry, as listed in Alexandria.

Summary:
The calculated density comes out at 4.976 g/cm³. The polymorph energy (0 for the lowest one) comes out at 0.000 eV per atom. Its total magnetic moment is 0.000 μB per atom. The formation energy comes out at -0.152 eV/atom. For the total energy, the calculation gives -4.15 eV per atom.

Lattice parameters (Å, degrees): 4.0546 4.0546 20.3518 90.00 90.00 120.00
Space group R-3m (No. 166, hexagonal axes)
Symmetry-distinct sites (fractional):
Rb 0.0000 0.0000 0.0000 x3
Ni 0.0000 0.0000 0.5000 x3
Ge 0.0000 0.0000 0.2030 x6

(10)
First-principles (GGA-PBE) data for crystalline Ba3GdH at its relaxed geometry, as listed in Alexandria.

Summary:
The calculated density comes out at 4.731 g/cm³. Its total magnetic moment is 1.692 μB per atom. For the total energy, the calculation gives -4.63 eV per atom.

Lattice parameters (Å, degrees): 5.850 5.850 5.850 90.00 90.00 90.00
Space group Pm-3m (No. 221)
Symmetry-distinct sites (fractional):
Ba 0.000 0.000 0.500 x3
Gd 0.500 0.500 0.500 x1
H 0.000 0.000 0.000 x1